HgAs2Pb: optimized geometry, PBE.

Output
Calculated formation energy = 0.2420 eV per atom
Mass density = 9.4 g/cm3

a = 3.925 Å, b = 3.925 Å, c = 6.419 Å
α = 90.00°, β = 90.00°, γ = 90.00°
Space group P4/mmm (No. 123)
Symmetry-distinct sites (fractional):
Hg 0.000 0.000 0.000 (multiplicity 1)
As 0.500 0.500 0.198 (multiplicity 2)
Pb 0.000 0.000 0.500 (multiplicity 1)